Below is an optimized crystal structure of Ba2WClO4, with properties calculated at the GGA+U level.

Structure (CIF):
```
data_Ba2WClO4
_chemical_formula_sum 'Ba4 W2 Cl2 O8'
_cell_length_a 10.1895
_cell_length_b 3.4805
_cell_length_c 10.2440
_cell_angle_alpha 90.00
_cell_angle_beta 112.79
_cell_angle_gamma 90.00
_space_group_name_H-M_alt 'C 1 2/m 1'
_space_group_IT_number 12
_space_group_name_Hall '-C 2y'
loop_
_atom_site_label
_atom_site_type_symbol
_atom_site_fract_x
_atom_site_fract_y
_atom_site_fract_z
Ba1 Ba 0.1670 0.0000 0.2678
W1 W 0.0000 0.0000 0.5000
Cl1 Cl 0.0000 0.5000 0.0000
O1 O 0.1043 0.5000 0.4586
O2 O 0.1314 0.0000 0.6918
```

Values from the calculation:
* total energy: -103.30 eV/cell
* total moment: 1.99 μB per cell